Computed, not measured: crystalline MnP2Cl4 at its relaxed geometry at the GGA-PBE level of DFT.

Summary:
- Formation energy from raw total energies: -0.0384 eV per atom
- Theoretical density: 2.63 g cm⁻³

Geometry as extended XYZ:
```
14
Lattice="-2.077 -1.432 -1.825 5.185 -0.973 -5.137 3.463 -12.489 5.861" Properties=species:S:1:pos:R:3 pbc="T T T"
Cl 3.538 -8.822 2.897
Mn 0.000 0.000 0.000
Cl 3.003 -2.048 -4.465
P 2.945 -5.730 -1.510
Cl 6.553 -10.830 1.043
Cl 2.095 -2.632 -0.319
Mn 4.324 -6.731 0.362
P -0.412 -2.486 -0.235
Cl 5.109 -4.640 -2.173
P 3.626 -9.164 0.409
Cl 4.765 -8.299 -1.566
Cl 3.568 -12.846 3.365
Cl 1.806 -6.596 0.466
P 6.983 -12.408 -0.865
```

Computed, not measured: crystalline MnPCl2 at its relaxed geometry at the GGA-PBE level of DFT.

Summary:
- E above lowest polymorph: 0.86 eV/f.u.
- Formation energy from raw total energies: -0.3256 eV per atom
- Theoretical density: 2.99 g cm⁻³

Geometry as extended XYZ:
```
4
Lattice="3.605 0.000 0.000 0.000 5.166 0.104 0.000 3.862 4.756" Properties=species:S:1:pos:R:3 pbc="T T T"
Mn 0.000 4.809 2.411
Cl 1.802 2.653 1.754
P 1.802 6.179 3.198
Cl 0.000 8.928 4.787
```

Computed, not measured: crystalline MnP2Cl at its relaxed geometry at the GGA-PBE level of DFT.

Summary:
- E above lowest polymorph: 3.22 eV/f.u.
- Formation energy from raw total energies: 0.5379 eV per atom
- Theoretical density: 3.96 g cm⁻³

Geometry as extended XYZ:
```
4
Lattice="-3.801 0.822 -2.241 1.175 -3.016 -3.109 -0.154 -1.178 4.328" Properties=species:S:1:pos:R:3 pbc="T T T"
Cl -1.313 -1.097 -2.675
P -0.146 -2.646 -0.728
P 0.000 0.000 0.000
Mn -2.634 -0.726 -0.294
```

Computed, not measured: crystalline MnPCl2 at its relaxed geometry at the GGA-PBE level of DFT.

Summary:
- E above lowest polymorph: 4.03 eV/f.u.
- Formation energy from raw total energies: 0.4672 eV per atom
- Theoretical density: 3.44 g cm⁻³

Geometry as extended XYZ:
```
4
Lattice="4.015 0.000 0.000 0.000 4.345 0.000 0.000 0.000 4.345" Properties=species:S:1:pos:R:3 pbc="T T T"
P 2.007 0.000 2.173
Cl 0.000 2.173 2.173
Mn 2.007 2.173 0.000
Cl 0.000 0.000 0.000
```

Computed, not measured: crystalline Mn2PCl at its relaxed geometry at the GGA-PBE level of DFT.

Summary:
- E above lowest polymorph: 2.09 eV/f.u.
- Formation energy from raw total energies: 0.1201 eV per atom
- Theoretical density: 4.18 g cm⁻³

Geometry as extended XYZ:
```
4
Lattice="3.907 0.000 0.000 0.000 5.702 0.000 0.000 0.000 3.143" Properties=species:S:1:pos:R:3 pbc="T T T"
Cl 0.000 2.851 1.572
Mn 1.953 2.851 0.000
P 1.953 0.000 1.572
Mn 0.000 0.000 0.000
```

Computed, not measured: crystalline MnP2Cl at its relaxed geometry at the GGA-PBE level of DFT.

Summary:
- E above lowest polymorph: 1.07 eV/f.u.
- Formation energy from raw total energies: -0.0002 eV per atom
- Theoretical density: 3.28 g cm⁻³

Geometry as extended XYZ:
```
4
Lattice="-2.989 0.248 -1.946 -1.816 -1.921 2.545 -1.516 4.858 2.948" Properties=species:S:1:pos:R:3 pbc="T T T"
P -1.627 -1.628 2.291
P -2.073 0.072 -0.092
Mn -4.087 2.790 3.349
Cl -2.018 1.497 3.291
```

Computed, not measured: crystalline MnPCl2 at its relaxed geometry at the GGA-PBE level of DFT.

Summary:
- E above lowest polymorph: 3.31 eV/f.u.
- Formation energy from raw total energies: 0.2872 eV per atom
- Theoretical density: 3.26 g cm⁻³

Geometry as extended XYZ:
```
4
Lattice="-2.287 -5.594 2.354 2.692 -5.825 0.943 0.507 6.424 0.738" Properties=species:S:1:pos:R:3 pbc="T T T"
Cl 1.701 -2.555 1.665
Cl 0.000 0.000 0.000
P -0.789 -2.440 2.370
Mn 0.202 -5.709 1.649
```

Computed, not measured: crystalline MnPCl2 at its relaxed geometry at the GGA-PBE level of DFT.

Summary:
- E above lowest polymorph: 0.87 eV/f.u.
- Formation energy from raw total energies: -0.3221 eV per atom
- Theoretical density: 2.46 g cm⁻³

Geometry as extended XYZ:
```
4
Lattice="7.236 0.186 0.010 4.749 5.464 -0.010 -5.571 -3.720 2.744" Properties=species:S:1:pos:R:3 pbc="T T T"
Cl 2.611 -0.929 1.377
P 4.287 3.086 1.367
Mn 6.252 2.947 0.000
Cl 11.241 5.299 0.000
```

Computed, not measured: crystalline MnP2Cl at its relaxed geometry at the GGA-PBE level of DFT.

Summary:
- E above lowest polymorph: 0.63 eV/f.u.
- Formation energy from raw total energies: -0.1117 eV per atom
- Theoretical density: 3.34 g cm⁻³

Geometry as extended XYZ:
```
4
Lattice="-2.566 -2.281 -2.907 -1.535 -1.730 2.713 -4.118 2.445 1.716" Properties=species:S:1:pos:R:3 pbc="T T T"
Cl -2.696 -0.962 -0.346
Mn -5.523 -0.604 1.868
P -3.360 0.472 2.596
P -5.120 0.601 4.048
```

Computed, not measured: crystalline MnP2Cl at its relaxed geometry at the GGA-PBE level of DFT.

Summary:
- E above lowest polymorph: 2.72 eV/f.u.
- Formation energy from raw total energies: 0.4130 eV per atom
- Theoretical density: 3.58 g cm⁻³

Geometry as extended XYZ:
```
4
Lattice="5.898 -0.536 0.000 -3.736 4.595 0.000 0.000 0.000 2.814" Properties=species:S:1:pos:R:3 pbc="T T T"
Cl 2.949 -0.268 1.407
P 0.000 0.000 0.000
Mn -1.868 2.298 1.407
P 1.081 2.030 0.000
```